Material: Tb2Tc2Sn2C
Method: DFT, GGA-PBE
State: optimized geometry

Values from the calculation:
- Volume: 143 Å³/cell
- Electronic total energy: -7.166 eV/atom
- Energy of formation from the pure elements: -420 meV/atom

Cell lengths 6.205, 6.205, 7.650 Å; angles 118.55, 118.55, 33.97 degrees
Element x y z (fractional)
Tb 0.048 0.048 0.261
Tb 0.952 0.952 0.739
Tc 0.323 0.323 0.952
Tc 0.677 0.677 0.048
Sn 0.338 0.338 0.332
Sn 0.662 0.662 0.668
C 0.500 0.500 0.000

---

Material: SmDyPt
Method: DFT, GGA-PBE
State: optimized geometry

Values from the calculation:
- Volume: 93 Å³/cell
- Electronic total energy: -5.852 eV/atom
- Energy of formation from the pure elements: -731 meV/atom
- Excess energy over the best structure of this formula in the dataset: 0.158 eV per atom

Cell lengths 4.152, 4.152, 6.227 Å; angles 90.00, 90.00, 120.00 degrees
Element x y z (fractional)
Sm 0.000 0.000 0.000
Dy 0.333 0.667 0.484
Pt 0.667 0.333 0.253